Entry 1:
# BaPuPa2S8 GGA-PBE optimized geometry
data_BaPuPa2S8
_chemical_formula_sum 'Ba1 Pu1 Pa2 S8'
_cell_length_a 6.3534
_cell_length_b 8.4709
_cell_length_c 6.3787
_cell_angle_alpha 90.00
_cell_angle_beta 92.09
_cell_angle_gamma 90.00
_symmetry_space_group_name_H-M 'P 1'
_symmetry_Int_Tables_number 1
_symmetry_space_group_name_Hall 'P 1'
loop_
_atom_site_label
_atom_site_fract_x
_atom_site_fract_y
_atom_site_fract_z
_atom_site_occupancy
Ba1 0.0000 0.0000 0.0000 1
Pu1 0.0000 0.5000 0.0000 1
Pa1 0.5000 0.2535 0.5000 1
Pa2 0.5000 0.7465 0.5000 1
S1 0.2600 0.2839 0.1605 1
S2 0.2600 0.7161 0.1605 1
S3 0.2801 0.0000 0.6101 1
S4 0.2799 0.5000 0.6559 1
S5 0.7199 0.0000 0.3899 1
S6 0.7201 0.5000 0.3441 1
S7 0.7400 0.2839 0.8395 1
S8 0.7400 0.7161 0.8395 1
# uncorrected energy: -7.190 eV per atom
# symmetry: P2/m



Entry 2:
# Ho3Mg7Hg2 GGA-PBE optimized geometry
data_Ho3Mg7Hg2
_chemical_formula_sum 'Ho3 Mg7 Hg2'
_cell_length_a 10.0895
_cell_length_b 10.0895
_cell_length_c 10.0895
_cell_angle_alpha 34.59
_cell_angle_beta 34.59
_cell_angle_gamma 34.59
_symmetry_space_group_name_H-M 'P 1'
_symmetry_Int_Tables_number 1
_symmetry_space_group_name_Hall 'P 1'
loop_
_atom_site_label
_atom_site_fract_x
_atom_site_fract_y
_atom_site_fract_z
_atom_site_occupancy
Ho1 0.0000 0.0000 0.0000 1
Ho2 0.1445 0.1445 0.1445 1
Ho3 0.8555 0.8555 0.8555 1
Mg1 0.0770 0.5841 0.5841 1
Mg2 0.4159 0.4159 0.9230 1
Mg3 0.4159 0.9230 0.4159 1
Mg4 0.5000 0.5000 0.5000 1
Mg5 0.5841 0.0770 0.5841 1
Mg6 0.5841 0.5841 0.0770 1
Mg7 0.9230 0.4159 0.4159 1
Hg1 0.3342 0.3342 0.3342 1
Hg2 0.6658 0.6658 0.6658 1
# symmetry: R-3m
# formation energy: -1.7 eV per formula unit



Entry 3:
# Nd2SmTmS5 GGA-PBE optimized geometry
data_Nd2SmTmS5
_chemical_formula_sum 'Nd2 Sm1 Tm1 S5'
_cell_length_a 4.8236
_cell_length_b 4.8236
_cell_length_c 10.3804
_cell_angle_alpha 90.00
_cell_angle_beta 90.00
_cell_angle_gamma 90.00
_symmetry_space_group_name_H-M 'P 1'
_symmetry_Int_Tables_number 1
_symmetry_space_group_name_Hall 'P 1'
loop_
_atom_site_label
_atom_site_fract_x
_atom_site_fract_y
_atom_site_fract_z
_atom_site_occupancy
Nd1 0.0000 0.0000 0.1945 1
Nd2 0.0000 0.0000 0.8055 1
Sm1 0.5000 0.5000 0.5000 1
Tm1 0.5000 0.5000 0.0000 1
S1 0.0000 0.0000 0.5000 1
S2 0.0000 0.5000 0.0000 1
S3 0.5000 0.0000 0.0000 1
S4 0.5000 0.5000 0.2503 1
S5 0.5000 0.5000 0.7497 1
# uncorrected energy: -5.875 eV per atom
# symmetry: P4/mmm



| no. | total moment (μB/f.u.) | DOS(E_F) (states/eV/cell) |
| --- | --- | --- |
| 1 | 4.00 | 9.12 |
| 2 | 0.00 | 10.29 |
| 3 | 0.00 | 5.09 |